# CdCoF

CdCoF after structural relaxation (PBE+U, Alexandria via LeMat-Bulk).

Lattice parameters (Å, degrees): 4.7110 2.8642 15.0919 90.00 109.34 90.00
Last column: nearest neighbours and their distance in Å.
Element x y z (fractional)
F  0.1240  0.0000  0.2472  1 Co 2.08
F  0.6913  0.5000  0.2944  2 Co 2.04
F  0.6913  0.0000  0.7944  2 Co 2.04
F  0.1240  0.5000  0.7472  1 Co 2.08
Co  0.6565  0.0000  0.1948  3 F 2.04-2.08
Co  0.6565  0.5000  0.6948  3 F 2.04-2.08
Co  0.4841  0.5000  0.0417  4 Co 2.61-2.86, 6 Cd 2.73-2.77
Co  0.4841  0.0000  0.5417  4 Co 2.61-2.86, 6 Cd 2.73-2.77
Cd  0.0015  0.0000  0.0559  1 F 2.75, 5 Co 2.75-3.05, 2 Cd 2.86
Cd  0.0015  0.5000  0.5559  1 F 2.75, 5 Co 2.75-3.05, 2 Cd 2.86
Cd  0.3124  0.5000  0.3786  3 F 2.37-2.51
Cd  0.3124  0.0000  0.8786  3 F 2.37-2.51

Computed properties:
SG	Cm (8)
E_tot	-3.36	eV/atom